The following is a PBE-GGA calculation of crystalline PmPa2BeN5 at its relaxed geometry, from Alexandria via LeMat-Bulk.

## Properties
Theoretical density: 9.37 g/cm3
Uncorrected formation energy: -11.2 eV/f.u.
Space group: No. 36
Total magnetization: 0.0 μB/f.u.
Crystal system: orthorhombic

a = 3.320 Å, b = 8.342 Å, c = 8.963 Å
α = 90.00°, β = 90.00°, γ = 101.48°
Sites, in units of the cell vectors:
N 0.031 0.062 0.043
N 0.322 0.644 0.695
Pm 0.785 0.569 0.494
Be 0.454 0.909 0.461
Pa 0.908 0.816 0.183
Pa 0.100 0.199 0.296
N 0.507 0.014 0.289
N 0.648 0.295 0.845
Be 0.546 0.091 0.961
N 0.365 0.730 0.020
N 0.969 0.938 0.543
N 0.678 0.356 0.195
N 0.493 0.986 0.789
Pa 0.900 0.801 0.796
Pa 0.092 0.184 0.683
N 0.352 0.705 0.345
N 0.635 0.270 0.520
Pm 0.215 0.431 0.994

---

The following is a PBE-GGA calculation of crystalline CoCuPS2 at its relaxed geometry, from Alexandria via LeMat-Bulk.

## Properties
Distance to the lowest polymorph of the same formula: 2.002 eV/f.u.
Theoretical density: 3.97 g/cm3
Uncorrected formation energy: 5.2 eV/f.u.
Space group: No. 123
Total magnetization: 2.3 μB/f.u.
Crystal system: tetragonal

a = 4.585 Å, b = 4.585 Å, c = 4.329 Å
α = 90.00°, β = 90.00°, γ = 90.00°
Sites, in units of the cell vectors:
P 0.000 0.000 0.500
Cu 0.000 0.000 0.000
S 0.000 0.500 0.000
S 0.500 0.000 0.000
Co 0.500 0.500 0.500

---

The following is a PBE-GGA calculation of crystalline MgMn2Pt at its relaxed geometry, from Alexandria via LeMat-Bulk.

## Properties
Theoretical density: 9.16 g/cm3
Space group: No. 119
Energy: -6.770 eV/atom
Total magnetization: 0.1 μB/f.u.
Crystal system: tetragonal

a = 4.768 Å, b = 4.768 Å, c = 4.768 Å
α = 131.40°, β = 131.40°, γ = 71.18°
Sites, in units of the cell vectors:
Mn 0.250 0.750 0.500
Mn 0.000 0.000 0.000
Mg 0.750 0.250 0.500
Pt 0.500 0.500 0.000

---

The following is a PBE-GGA calculation of crystalline BeAl2B2Rh5 at its relaxed geometry, from Alexandria via LeMat-Bulk.

## Properties
Theoretical density: 8.39 g/cm3
Space group: No. 127
Energy: -6.793 eV/atom
Total magnetization: 0.0 μB/f.u.
Crystal system: tetragonal

a = 2.874 Å, b = 9.081 Å, c = 9.081 Å
α = 90.00°, β = 90.00°, γ = 90.00°
Sites, in units of the cell vectors:
Rh 0.500 0.577 0.703
B 0.000 0.131 0.631
Rh 0.500 0.203 0.077
Rh 0.500 0.500 0.000
Rh 0.500 0.797 0.923
B 0.000 0.631 0.869
B 0.000 0.369 0.131
Al 0.000 0.675 0.175
Rh 0.500 0.703 0.423
Al 0.000 0.825 0.675
Be 0.000 0.000 0.000
Rh 0.500 0.423 0.297
Rh 0.500 0.000 0.500
Be 0.000 0.500 0.500
Rh 0.500 0.923 0.203
Al 0.000 0.325 0.825
Rh 0.500 0.297 0.577
Al 0.000 0.175 0.325
B 0.000 0.869 0.369
Rh 0.500 0.077 0.797

---

The following is a PBE-GGA calculation of crystalline BaScIn2 at its relaxed geometry, from Alexandria via LeMat-Bulk.

## Properties
Theoretical density: 5.62 g/cm3
Space group: No. 119
Energy: -3.467 eV/atom
Total magnetization: 0.0 μB/f.u.
Crystal system: tetragonal

a = 6.176 Å, b = 6.176 Å, c = 6.176 Å
α = 133.52°, β = 133.52°, γ = 67.84°
Sites, in units of the cell vectors:
In 0.000 0.000 0.000
In 0.250 0.750 0.500
Ba 0.750 0.250 0.500
Sc 0.500 0.500 0.000

---

The following is a PBE-GGA calculation of crystalline RbCaHgBr2 at its relaxed geometry, from Alexandria via LeMat-Bulk.

## Properties
Theoretical density: 3.89 g/cm3
Uncorrected formation energy: -5.9 eV/f.u.
Space group: No. 123
Total magnetization: 0.3 μB/f.u.
Crystal system: tetragonal

a = 5.743 Å, b = 5.743 Å, c = 6.290 Å
α = 90.00°, β = 90.00°, γ = 90.00°
Sites, in units of the cell vectors:
Br 0.500 0.000 0.000
Ca 0.000 0.000 0.000
Rb 0.500 0.500 0.500
Br 0.000 0.500 0.000
Hg 0.000 0.000 0.500

---

The following is a PBE-GGA calculation of crystalline CsSr3Zn at its relaxed geometry, from Alexandria via LeMat-Bulk.

## Properties
Distance to the lowest polymorph of the same formula: 5.008 eV/f.u.
Theoretical density: 2.43 g/cm3
Space group: No. 221
Total magnetization: 3.6 μB/f.u.
Crystal system: cubic

a = 6.803 Å, b = 6.803 Å, c = 6.803 Å
α = 90.00°, β = 90.00°, γ = 90.00°
Sites, in units of the cell vectors:
Zn 0.500 0.500 0.500
Cs 0.000 0.000 0.000
Sr 0.000 0.000 0.500
Sr 0.500 0.000 0.000
Sr 0.000 0.500 0.000

---

The following is a PBE-GGA calculation of crystalline ScCd at its relaxed geometry, from Alexandria via LeMat-Bulk.

## Properties
Theoretical density: 4.18 g/cm3
Space group: No. 194
Energy: -3.093 eV/atom
Total magnetization: 0.1 μB/f.u.
Crystal system: hexagonal

a = 4.985 Å, b = 4.985 Å, c = 5.811 Å
α = 90.00°, β = 90.00°, γ = 120.00°
Sites, in units of the cell vectors:
Cd 0.667 0.333 0.250
Cd 0.333 0.667 0.750
Sc 0.667 0.333 0.750
Sc 0.333 0.667 0.250

---

The following is a PBE-GGA calculation of crystalline CoPBr2 at its relaxed geometry, from Alexandria via LeMat-Bulk.

## Properties
Distance to the lowest polymorph of the same formula: 4.284 eV/f.u.
Theoretical density: 4.66 g/cm3
Uncorrected formation energy: 3.0 eV/f.u.
Space group: No. 47
Total magnetization: 2.7 μB/f.u.
Crystal system: orthorhombic

a = 3.351 Å, b = 6.571 Å, c = 4.039 Å
α = 90.00°, β = 90.00°, γ = 90.00°
Sites, in units of the cell vectors:
P 0.000 0.500 0.500
Co 0.500 0.000 0.500
Br 0.000 0.000 0.000
Br 0.500 0.500 0.000

---

Q: What is the formula in the third record?
A: MgMn2Pt